! CsGaRe2O, relaxed, DFT PBE; values from VASP
! Fermi-level density of states in states/eV/f.u.: 5.9
! Calculated total energy in eV/cell: -15.44
! Crystal system: tetragonal
! Energy relative to the elements, uncorrected in kJ/mol of formula units: 1765.0
&SYSTEM
  ibrav = 0, nat = 5, ntyp = 4
/
ATOMIC_SPECIES
Cs 132.91 Cs.upf
Re 186.21 Re.upf
O 16.00 O.upf
Ga 69.72 Ga.upf
CELL_PARAMETERS angstrom
5.115 0.000 0.000
0.000 6.223 0.000
0.000 0.000 5.115
ATOMIC_POSITIONS angstrom
Cs 0.000 0.000 0.000
Re 0.000 0.000 2.557
Re 2.557 0.000 0.000
O 2.557 3.111 2.557
Ga 0.000 3.111 0.000